(1)
Ac2Pr6Dy3: relaxed, PBE-GGA.

Summary:
DOS(E_F): 1.5411 states/eV per atom
DFT formation energy: 0.031 eV per atom

Cell: 6.453 8.303 8.320 Å, 107.58 97.42 104.80°
Space group P-1 (No. 2)
Inequivalent atoms, fractional coordinates:
Ac  0.229  0.406  0.050
Pr  0.045  0.684  0.415
Pr  0.140  0.046  0.237
Pr  0.319  0.779  0.862
Dy  0.412  0.134  0.676
Dy  0.500  0.500  0.500

(2)
AcPrDy: relaxed, PBE-GGA.

Summary:
DOS(E_F): 1.2796 states/eV per atom
Offset from the most stable computed form: 0.02 eV/f.u.
DFT formation energy: 0.052 eV per atom

Cell: 6.597 12.181 6.336 Å, 90.00 118.57 90.00°
Space group P2_1/c (No. 14)
Inequivalent atoms, fractional coordinates:
Ac  0.170  0.132  0.156
Pr  0.188  0.615  0.009
Dy  0.482  0.616  0.657

(3)
AcPr2Dy9: relaxed, PBE-GGA.

Summary:
DOS(E_F): 1.4748 states/eV per atom
DFT formation energy: 0.034 eV per atom

Cell: 5.100 5.100 15.307 Å, 90.00 90.00 90.00°
Space group P4/mmm (No. 123)
Inequivalent atoms, fractional coordinates:
Ac  0.000  0.000  0.000
Pr  0.000  0.000  0.335
Dy  0.000  0.500  0.171
Dy  0.000  0.500  0.500
Dy  0.500  0.500  0.000
Dy  0.500  0.500  0.336

Number 1: V 36.402 Å³ per atom. Number 2: V 37.262 Å³ per atom. Number 3: V 33.179 Å³ per atom.